[1]
First-principles (PBE) data for an optimized crystal structure of Sc4InCoC2, as listed in the Open Quantum Materials Database. Values from VASP.

```
&SYSTEM
  ibrav = 0, nat = 8, ntyp = 4
/
ATOMIC_SPECIES
C 12.01 C.upf
Co 58.93 Co.upf
In 114.82 In.upf
Sc 44.96 Sc.upf
ATOMIC_POSITIONS angstrom
C -2.720 -2.448 0.841
C -7.702 -5.316 5.956
Co 0.000 0.000 0.000
In -3.760 -4.355 4.547
Sc -0.434 -2.440 1.133
Sc -2.865 -1.650 2.942
Sc -6.302 -3.628 6.471
Sc -7.085 -6.269 7.961
CELL_PARAMETERS angstrom
-2.078 -0.770 -2.456
2.275 -2.189 0.989
-9.168 -5.278 9.413
```

Calculated values
The value obtained for the electronic total energy is -7.0544 eV/atom. The calculation puts the total magnetization at 0.052 μB per atom.

***

[2]
First-principles (PBE) data for an optimized crystal structure of K2LiZnF6, as listed in the Open Quantum Materials Database. Values from VASP.

```
&SYSTEM
  ibrav = 0, nat = 20, ntyp = 4
/
ATOMIC_SPECIES
F 19.00 F.upf
K 39.10 K.upf
Li 6.94 Li.upf
Zn 65.41 Zn.upf
ATOMIC_POSITIONS angstrom
F 1.088 4.429 0.003
F 1.115 1.647 0.005
F 5.255 0.277 1.951
F 2.494 3.048 1.971
F 1.087 1.687 3.917
F 1.131 4.446 3.921
F 3.847 1.643 3.924
F 3.892 4.402 3.928
F 2.485 3.042 5.874
F 5.265 0.278 5.894
F 3.865 4.449 7.840
F 3.892 1.668 7.842
K 5.258 3.048 1.960
K 2.491 0.276 1.961
K 2.491 0.275 5.883
K 5.259 3.046 5.885
Li 2.490 3.049 0.000
Li 5.260 0.275 3.922
Zn 5.261 0.279 0.000
Zn 2.489 3.045 3.922
CELL_PARAMETERS angstrom
5.538 0.000 0.000
-0.004 5.541 0.000
-0.001 -0.002 7.845
```

Calculated values
The energy above the most stable polymorph in this dataset comes out at 0.0 kJ/mol of atoms. The value obtained for the electronic total energy is -4.0816 eV/atom.

***

[3]
First-principles (PBE) data for an optimized crystal structure of Cu4Ag, as listed in the Open Quantum Materials Database. Values from VASP.

```
&SYSTEM
  ibrav = 0, nat = 10, ntyp = 2
/
ATOMIC_SPECIES
Ag 107.87 Ag.upf
Cu 63.55 Cu.upf
ATOMIC_POSITIONS angstrom
Ag 10.714 0.000 0.838
Ag 1.784 0.000 4.389
Cu 7.961 0.000 0.283
Cu -0.197 0.000 1.322
Cu 2.292 0.000 1.835
Cu 5.005 0.000 2.421
Cu 7.493 0.000 2.806
Cu 10.206 0.000 3.392
Cu 12.695 0.000 3.905
Cu 4.537 0.000 4.944
CELL_PARAMETERS angstrom
6.753 -1.846 0.000
6.753 1.846 0.000
-1.008 0.000 5.227
```

Calculated values
Its formation energy is 0.33 eV/f.u. The energy above the most stable polymorph in this dataset comes out at 2.2 kJ/mol of atoms. The value obtained for the electronic total energy is -3.4718 eV/atom.

***

[4]
First-principles (PBE) data for an optimized crystal structure of RbTbZnTe3, as listed in the Open Quantum Materials Database. Values from VASP.

```
&SYSTEM
  ibrav = 0, nat = 12, ntyp = 4
/
ATOMIC_SPECIES
Rb 85.47 Rb.upf
Tb 158.93 Tb.upf
Te 127.60 Te.upf
Zn 65.41 Zn.upf
ATOMIC_POSITIONS angstrom
Rb 16.396 0.000 4.082
Rb 1.787 0.000 5.242
Tb 3.272 0.000 0.597
Tb 14.912 0.000 8.727
Te 0.000 0.000 0.000
Te 6.236 0.000 1.376
Te 12.803 0.000 2.641
Te 9.092 0.000 4.662
Te 5.380 0.000 6.683
Te 11.947 0.000 7.948
Zn 10.210 0.000 2.144
Zn 7.973 0.000 7.181
CELL_PARAMETERS angstrom
10.020 -2.273 0.000
10.020 2.273 0.000
-1.857 0.000 9.324
```

Calculated values
The value obtained for the electronic total energy is -3.6183 eV/atom. The calculation puts the total magnetization at 0.000 μB per atom.